Entry from the Alexandria database: an optimized crystal structure of K2MnTe2O6 (GGA+U).

Lattice parameters (Å, degrees): 9.437 6.334 6.631 90.00 106.43 90.00
Space group C2/m (No. 12)
One atom of each set of equivalent atoms:
K1 0.184 0.000 0.093 (multiplicity 4)
Mn1 0.000 0.000 0.500 (multiplicity 2)
Te1 0.076 0.500 0.301 (multiplicity 4)
O1 0.030 0.218 0.723 (multiplicity 8)
O2 0.240 0.000 0.495 (multiplicity 4)

Output
- crystal system = monoclinic
- DOS(E_F) (states/eV/cell) = 1.45
- total energy (eV/atom) = -5.325